No. 1
DFT (PBE) results for a geometry-optimized ZnCrC3 structure.

Calculated values
As for the space-group type: Pm-3m. The density of states at the Fermi level is 1.1553 states/eV per atom.

Cell: 3.8281 3.8281 3.8281 Å, 90.00 90.00 90.00°
Positions (direct):
Zn  0.0000  0.0000  0.0000
Cr  0.5000  0.5000  0.5000
C  0.0000  0.5000  0.0000
C  0.5000  0.0000  0.0000
C  0.0000  0.0000  0.5000

=====

No. 2
DFT (PBE) results for a geometry-optimized Zn2CrC structure.

Calculated values
As for the space-group type: P-1. The density of states at the Fermi level is 0.3411 states/eV per atom.

Cell: 4.4134 4.5137 5.2784 Å, 94.12 98.00 97.67°
Positions (direct):
C  0.1641  0.9955  0.4987
Cr  0.4900  0.7443  0.5908
C  0.8359  0.0045  0.5013
Zn  0.0177  0.4469  0.2450
Cr  0.5100  0.2557  0.4092
Zn  0.4502  0.2390  0.8976
Zn  0.5498  0.7610  0.1024
Zn  0.9823  0.5531  0.7550

=====

No. 3
DFT (PBE) results for a geometry-optimized ZnCr2C structure.

Calculated values
As for the space-group type: R-3m. The density of states at the Fermi level is 0.9010 states/eV per atom.

Cell: 2.8377 2.8377 6.6507 Å, 77.68 77.68 60.00°
Positions (direct):
Cr  0.7213  0.7213  0.8360
C  0.0000  0.0000  0.0000
Zn  0.5000  0.5000  0.5000
Cr  0.2787  0.2787  0.1640

=====

No. 4
DFT (PBE) results for a geometry-optimized Zn2CrC structure.

Calculated values
As for the space-group type: Cm. The density of states at the Fermi level is 0.4953 states/eV per atom.

Cell: 8.5177 2.8227 9.4153 Å, 90.00 118.53 90.00°
Positions (direct):
Cr  0.3901  0.0000  0.3299
Zn  0.6929  0.5000  0.5003
C  0.3489  0.5000  0.6139
Cr  0.3901  0.5000  0.8299
Zn  0.0722  0.0000  0.0622
Zn  0.0722  0.5000  0.5622
Zn  0.8278  0.5000  0.8244
Zn  0.8278  0.0000  0.3244
C  0.3489  0.0000  0.1139
Zn  0.0858  0.0000  0.7932
C  0.3855  0.0000  0.9837
Zn  0.6929  0.0000  0.0003
C  0.3855  0.5000  0.4837
Zn  0.0858  0.5000  0.2932
Cr  0.5353  0.0000  0.6583
Cr  0.5353  0.5000  0.1583

=====

No. 5
DFT (PBE) results for a geometry-optimized Zn2CrC structure.

Calculated values
As for the space-group type: P-1. The density of states at the Fermi level is 0.3840 states/eV per atom.

Cell: 3.7669 4.1580 6.5046 Å, 90.06 93.58 93.91°
Positions (direct):
Zn  0.9785  0.7600  0.8672
Cr  0.4418  0.7735  0.5743
Cr  0.5582  0.2265  0.4257
C  0.8889  0.6034  0.5461
Zn  0.5124  0.7534  0.1527
Zn  0.0215  0.2400  0.1328
Zn  0.4876  0.2466  0.8473
C  0.1111  0.3966  0.4539

=====

No. 6
DFT (PBE) results for a geometry-optimized Zn2CrC structure.

Calculated values
As for the space-group type: Pmm2. The density of states at the Fermi level is 0.5072 states/eV per atom.

Cell: 4.1919 2.7969 8.4760 Å, 90.00 90.00 90.00°
Positions (direct):
Zn  0.0000  0.0000  0.0067
Cr  0.0000  0.0000  0.3395
Zn  0.0000  0.5000  0.6572
Zn  0.5000  0.5000  0.8333
C  0.3282  0.5000  0.4019
Zn  0.5000  0.5000  0.1439
C  0.6718  0.5000  0.4019
Cr  0.5000  0.0000  0.5541

=====

No. 7
DFT (PBE) results for a geometry-optimized Zn2CrC structure.

Calculated values
As for the space-group type: Pmm2. The density of states at the Fermi level is 0.2002 states/eV per atom.

Cell: 2.7198 2.7625 6.4672 Å, 90.00 90.00 90.00°
Positions (direct):
Zn  0.0000  0.0000  0.1430
Cr  0.0000  0.5000  0.7851
C  0.5000  0.0000  0.8510
Zn  0.5000  0.0000  0.4838

=====

No. 8
DFT (PBE) results for a geometry-optimized Zn2CrC structure.

Calculated values
As for the space-group type: C2/m. The density of states at the Fermi level is 0.4408 states/eV per atom.

Cell: 4.8277 4.2962 9.1584 Å, 90.00 98.67 90.00°
Positions (direct):
Cr  0.2617  0.0000  0.0660
Zn  0.8242  0.5000  0.7416
Zn  0.8242  0.0000  0.2416
Cr  0.2617  0.5000  0.5660
Zn  0.3805  0.5000  0.8695
Cr  0.7383  0.5000  0.4340
Zn  0.6195  0.0000  0.6305
Zn  0.1758  0.5000  0.2584
Cr  0.7383  0.0000  0.9340
C  0.0000  0.6673  0.0000
Zn  0.6195  0.5000  0.1305
C  0.0000  0.3327  0.0000
Zn  0.1758  0.0000  0.7584
Zn  0.3805  0.0000  0.3695
C  0.0000  0.8327  0.5000
C  0.0000  0.1673  0.5000

=====

No. 9
DFT (PBE) results for a geometry-optimized ZnCr3C structure.

Calculated values
As for the space-group type: Pm-3m. The density of states at the Fermi level is 1.1318 states/eV per atom.

Cell: 3.8543 3.8543 3.8543 Å, 90.00 90.00 90.00°
Positions (direct):
C  0.0000  0.0000  0.0000
Cr  0.0000  0.5000  0.0000
Cr  0.0000  0.0000  0.5000
Cr  0.5000  0.0000  0.0000
Zn  0.5000  0.5000  0.5000

=====

No. 10
DFT (PBE) results for a geometry-optimized ZnCr2C structure.

Calculated values
As for the space-group type: I-42d. The density of states at the Fermi level is 0.5108 states/eV per atom.

Cell: 5.9961 5.9961 4.9163 Å, 52.42 52.42 90.00°
Positions (direct):
Zn  0.0000  0.0000  0.0000
Zn  0.7500  0.2500  0.5000
Cr  0.5531  0.1250  0.2500
Cr  0.8750  0.8031  0.7500
Cr  0.3750  0.4469  0.7500
C  0.5000  0.5000  0.0000
C  0.2500  0.7500  0.5000
Cr  0.1969  0.6250  0.2500

=====

No. 11
DFT (PBE) results for a geometry-optimized Zn2CrC structure.

Calculated values
As for the space-group type: Pm. The density of states at the Fermi level is 0.4587 states/eV per atom.

Cell: 4.4049 2.7719 8.2036 Å, 90.00 89.49 90.00°
Positions (direct):
Zn  0.7902  0.5000  0.1764
Zn  0.0260  0.5000  0.8847
C  0.9259  0.5000  0.6259
Zn  0.5011  0.0000  0.9534
C  0.6093  0.5000  0.6158
Cr  0.7837  0.0000  0.4520
Zn  0.2855  0.5000  0.3330
Cr  0.2717  0.0000  0.6203

=====

No. 12
DFT (PBE) results for a geometry-optimized Zn2CrC structure.

Calculated values
As for the space-group type: Pm. The density of states at the Fermi level is 0.4080 states/eV per atom.

Cell: 4.3956 2.7192 8.8517 Å, 90.00 104.06 90.00°
Positions (direct):
C  0.2478  0.5000  0.3862
Cr  0.1622  0.0000  0.5508
Zn  0.1727  0.0000  0.0543
Cr  0.5827  0.0000  0.3764
Zn  0.7113  0.5000  0.6558
C  0.9294  0.5000  0.3803
Zn  0.7096  0.5000  0.1179
Zn  0.2907  0.5000  0.8169

=====

| no. | energy of formation (eV/atom) |
| --- | --- |
| 1 | 3.028 |
| 2 | 0.385 |
| 3 | -0.011 |
| 4 | 0.241 |
| 5 | 0.329 |
| 6 | 0.239 |
| 7 | 0.219 |
| 8 | 0.391 |
| 9 | 0.142 |
| 10 | 0.491 |
| 11 | 0.221 |
| 12 | 0.219 |